No. 1
Crystalline CsNaGeCl6 at its relaxed geometry, computed with GGA-PBE.

## Properties
total magnetic moment: 0.000 μB per atom
energy: -3.2734 eV per atom
uncorrected formation energy: -1.2879 eV per atom

a b c (Å): 6.9379 6.9379 7.4664
angles (deg): 90.03 90.03 120.06
Last column: nearest neighbours and their distance in Å.
Sites, in units of the cell vectors:
Cs 0.0000 0.0000 0.0000  6 Cl 3.52
Na 0.6665 0.3335 0.5000  6 Cl 2.83
Ge 0.3334 0.6666 0.5000  6 Cl 2.34
Cl 0.0528 0.3973 0.3187  1 Ge 2.34
Cl 0.0536 0.6556 0.6818  1 Ge 2.34
Cl 0.3444 0.9464 0.3182  1 Ge 2.34
Cl 0.3450 0.3983 0.6818  1 Ge 2.34
Cl 0.6017 0.6550 0.3182  1 Ge 2.34
Cl 0.6027 0.9472 0.6813  1 Ge 2.34

---

No. 2
Crystalline Cs2NbGeCl6 at its relaxed geometry, computed with GGA-PBE.

## Properties
total magnetic moment: 0.300 μB per atom
energy: -4.0203 eV per atom
uncorrected formation energy: -1.2729 eV per atom

a b c (Å): 7.4816 7.4816 7.4816
angles (deg): 60.00 60.00 60.00
Last column: nearest neighbours and their distance in Å.
Sites, in units of the cell vectors:
Cs 0.2500 0.2500 0.2500  12 Cl 3.74
Cs 0.7500 0.7500 0.7500  12 Cl 3.74
Nb 0.0000 0.0000 0.0000  6 Cl 2.60
Ge 0.5000 0.5000 0.5000  6 Cl 2.69
Cl 0.2457 0.2457 0.7543  1 Nb 2.60, 1 Ge 2.69
Cl 0.2457 0.7543 0.2457  1 Nb 2.60, 1 Ge 2.69
Cl 0.2457 0.7543 0.7543  1 Nb 2.60, 1 Ge 2.69
Cl 0.7543 0.2457 0.2457  1 Nb 2.60, 1 Ge 2.69
Cl 0.7543 0.2457 0.7543  1 Nb 2.60, 1 Ge 2.69
Cl 0.7543 0.7543 0.2457  1 Nb 2.60, 1 Ge 2.69

---

No. 3
Crystalline CsNdGe2Cl8 at its relaxed geometry, computed with GGA-PBE.

## Properties
total magnetic moment: 0.000 μB per atom
energy: -3.9510 eV per atom
uncorrected formation energy: -1.4819 eV per atom

a b c (Å): 6.3891 7.0546 9.9748
angles (deg): 94.07 91.02 95.80
Last column: nearest neighbours and their distance in Å.
Sites, in units of the cell vectors:
Cs 0.0000 0.0000 0.0000  6 Cl 3.50-3.58
Nd 0.0000 0.0000 0.5000  6 Cl 2.72-2.81
Ge 0.4542 0.5487 0.2907  2 Cl 2.28-2.44
Ge 0.5458 0.4513 0.7093  2 Cl 2.28-2.44
Cl 0.2190 0.1892 0.3106  1 Nd 2.72, 1 Ge 2.84
Cl 0.2354 0.6855 0.4634  1 Ge 2.44
Cl 0.2665 0.6122 0.1050  1 Ge 2.28
Cl 0.2784 0.1375 0.7086  1 Ge 2.66, 1 Nd 2.77
Cl 0.7216 0.8625 0.2914  1 Ge 2.66, 1 Nd 2.77
Cl 0.7335 0.3878 0.8950  1 Ge 2.28
Cl 0.7646 0.3145 0.5366  1 Ge 2.44
Cl 0.7810 0.8108 0.6894  1 Nd 2.72, 1 Ge 2.84

---

No. 4
Crystalline CsNpGeCl6 at its relaxed geometry, computed with GGA-PBE.

## Properties
total magnetic moment: 0.444 μB per atom
energy: -4.7232 eV per atom
uncorrected formation energy: -1.4463 eV per atom

a b c (Å): 9.9650 9.9650 9.9650
angles (deg): 121.26 119.05 89.74
Last column: nearest neighbours and their distance in Å.
Sites, in units of the cell vectors:
Cs 0.3042 0.0542 0.2500  1 Cl 3.43
Cs 0.6958 0.9458 0.7500  1 Cl 3.43
Np 0.0000 0.5000 0.5000  6 Cl 2.73-2.75
Np 0.5000 0.5000 0.0000  6 Cl 2.73-2.75
Ge 0.0000 0.0000 0.5000  6 Cl 2.59-2.72
Ge 0.0000 0.5000 0.0000  6 Cl 2.59-2.72
Cl 0.0612 0.8112 0.2500  2 Ge 2.59
Cl 0.0628 0.4065 0.2316  1 Ge 2.72, 1 Np 2.73
Cl 0.0628 0.8311 0.6563  1 Ge 2.72, 1 Np 2.73
Cl 0.3252 0.1689 0.7316  1 Ge 2.72, 1 Np 2.73
Cl 0.3252 0.5935 0.1563  1 Ge 2.72, 1 Np 2.73
Cl 0.3275 0.5775 0.7500  2 Np 2.75
Cl 0.6725 0.4225 0.2500  2 Np 2.75
Cl 0.6748 0.4065 0.8437  1 Ge 2.72, 1 Np 2.73
Cl 0.6748 0.8311 0.2684  1 Ge 2.72, 1 Np 2.73
Cl 0.9372 0.1689 0.3437  1 Ge 2.72, 1 Np 2.73
Cl 0.9372 0.5935 0.7684  1 Ge 2.72, 1 Np 2.73
Cl 0.9388 0.1888 0.7500  2 Ge 2.59